Entry 1:
Here is a relaxed structure of Th2Al2Cu from Alexandria. Energies are from PBE.

- Density of states at the Fermi level: 0.834 states/eV/atom
- Raw total energy: -5.6119 eV/atom
- Total moment: 0.0 μB/cell
- Volume: 23.07 Å³ per atom
- Energy relative to the elements: -0.33 eV per atom
- SG: C2/m, No. 12
- Theoretical density: 8373 kg/m³

a b c (Å): 4.5508 5.8071 9.7579
angles (deg): 85.69 76.52 66.93
Atoms (fractional coordinates):
1 Th 0.6770 0.3174 0.3286
2 Th 0.9107 0.2720 0.9065
3 Th 0.3230 0.6826 0.6714
4 Th 0.0893 0.7280 0.0935
5 Al 0.0871 0.2641 0.5617
6 Al 0.6312 0.8627 0.8748
7 Al 0.9129 0.7359 0.4383
8 Al 0.3688 0.1373 0.1252
9 Cu 0.6281 0.0982 0.6456
10 Cu 0.3719 0.9018 0.3544

Entry 2:
Here is a relaxed structure of ThAl2Cu6 from Alexandria. Energies are from PBE.

- Density of states at the Fermi level: 0.392 states/eV/atom
- Raw total energy: -4.4428 eV/atom
- Total moment: 0.0 μB/cell
- Volume: 16.27 Å³ per atom
- Energy relative to the elements: -0.06 eV per atom
- SG: Immm, No. 71
- Theoretical density: 7567 kg/m³

a b c (Å): 3.7904 7.0469 7.0469
angles (deg): 54.71 74.40 74.40
Atoms (fractional coordinates):
1 Th 0.0000 0.0000 0.0000
2 Al 0.8711 0.6289 0.6289
3 Al 0.1289 0.3711 0.3711
4 Cu 0.6893 0.0134 0.6079
5 Cu 0.3107 0.9866 0.3921
6 Cu 0.3107 0.3921 0.9866
7 Cu 0.5000 0.6751 0.3249
8 Cu 0.5000 0.3249 0.6751
9 Cu 0.6893 0.6079 0.0134

Entry 3:
Here is a relaxed structure of Th2Al12Cu7 from Alexandria. Energies are from PBE.

- Density of states at the Fermi level: 0.386 states/eV/atom
- Raw total energy: -4.5080 eV/atom
- Total moment: 0.0 μB/cell
- Volume: 16.47 Å³ per atom
- Energy relative to the elements: -0.30 eV per atom
- SG: P-6, No. 174
- Theoretical density: 5919 kg/m³

a b c (Å): 3.9731 10.0252 10.0252
angles (deg): 120.00 90.00 90.00
Atoms (fractional coordinates):
1 Th 0.5000 0.0000 0.0000
2 Th 0.0000 0.6667 0.3333
3 Al 0.5000 0.9059 0.6176
4 Al 0.5000 0.7117 0.0940
5 Al 0.5000 0.3824 0.2883
6 Al 0.5000 0.2388 0.7965
7 Al 0.5000 0.5577 0.7612
8 Al 0.5000 0.2035 0.4423
9 Al 0.0000 0.0515 0.5385
10 Al 0.0000 0.4870 0.9485
11 Al 0.0000 0.4615 0.5130
12 Al 0.0000 0.7714 0.7196
13 Al 0.0000 0.9481 0.2286
14 Al 0.0000 0.2804 0.0519
15 Cu 0.0000 0.3333 0.6667
16 Cu 0.0000 0.0491 0.7853
17 Cu 0.0000 0.7362 0.9509
18 Cu 0.0000 0.2147 0.2638
19 Cu 0.5000 0.6329 0.5543
20 Cu 0.5000 0.9213 0.3671
21 Cu 0.5000 0.4457 0.0787

Entry 4:
Here is a relaxed structure of ThAl2Cu from Alexandria. Energies are from PBE.

- Density of states at the Fermi level: 0.653 states/eV/atom
- Raw total energy: -5.0875 eV/atom
- Total moment: 0.0 μB/cell
- Volume: 20.54 Å³ per atom
- Energy relative to the elements: -0.34 eV per atom
- SG: R-3m, No. 166
- Theoretical density: 7065 kg/m³

a b c (Å): 4.1936 4.1936 5.9130
angles (deg): 69.23 69.23 60.00
Atoms (fractional coordinates):
1 Cu 0.5000 0.5000 0.5000
2 Th 0.0000 0.0000 0.0000
3 Al 0.7928 0.7928 0.6216
4 Al 0.2072 0.2072 0.3784

Entry 5:
Here is a relaxed structure of ThAl2Cu3 from Alexandria. Energies are from PBE.

- Energy above the most stable polymorph in this dataset: 24 meV per atom
- Density of states at the Fermi level: 0.654 states/eV/atom
- Raw total energy: -4.8296 eV/atom
- Total moment: 0.0 μB/cell
- Volume: 17.26 Å³ per atom
- Energy relative to the elements: -0.30 eV per atom
- SG: P6_3/mmc, No. 194
- Theoretical density: 7644 kg/m³

a b c (Å): 4.1724 4.1724 13.7355
angles (deg): 90.00 90.00 120.00
Atoms (fractional coordinates):
1 Th 0.0000 0.0000 0.2500
2 Th 0.0000 0.0000 0.7500
3 Al 0.6667 0.3333 0.4164
4 Al 0.3333 0.6667 0.5836
5 Al 0.3333 0.6667 0.9164
6 Al 0.6667 0.3333 0.0836
7 Cu 0.0000 0.0000 0.5000
8 Cu 0.0000 0.0000 0.0000
9 Cu 0.6667 0.3333 0.6035
10 Cu 0.3333 0.6667 0.1035
11 Cu 0.6667 0.3333 0.8965
12 Cu 0.3333 0.6667 0.3965

Entry 6:
Here is a relaxed structure of ThAl2Cu9 from Alexandria. Energies are from PBE.

- Density of states at the Fermi level: 0.391 states/eV/atom
- Raw total energy: -4.4698 eV/atom
- Total moment: 0.0 μB/cell
- Volume: 14.37 Å³ per atom
- Energy relative to the elements: -0.16 eV per atom
- SG: R-3m, No. 166
- Theoretical density: 8259 kg/m³

a b c (Å): 4.9828 4.9828 8.5223
angles (deg): 73.00 73.00 60.00
Atoms (fractional coordinates):
1 Th 0.0000 0.0000 0.0000
2 Al 0.8545 0.8545 0.4366
3 Al 0.1455 0.1455 0.5634
4 Cu 0.6657 0.6657 0.0028
5 Cu 0.3343 0.3343 0.9972
6 Cu 0.5000 0.5000 0.5000
7 Cu 0.4094 0.4094 0.2622
8 Cu 0.9190 0.4094 0.2622
9 Cu 0.4094 0.9190 0.2622
10 Cu 0.5906 0.5906 0.7378
11 Cu 0.5906 0.0810 0.7378
12 Cu 0.0810 0.5906 0.7378

density of states at the Fermi level of number 1 (Th2Al2Cu)? 0.834 states/eV/atom